[1]
## KRb2Ga2 (PBE-GGA)

Data for an optimized crystal structure of KRb2Ga2.

Summary:
**Theoretical density**: 2.45 g/cm3
**Magnetic moment**: 0.5 μB per formula unit
**D(E_F)**: 10.72 states/eV/cell
**E above lowest polymorph**: 38 meV per atom

Lattice parameters (Å, degrees): 5.8264 5.8264 13.9455 90.00 90.00 90.00
Space group I4/mmm (No. 139)
Inequivalent atoms, fractional coordinates:
K: 0.0000 0.0000 0.0000 x2
Rb: 0.0000 0.5000 0.2500 x4
Ga: 0.0000 0.0000 0.4132 x4

[2]
## Li4SnS5 (PBE-GGA)

Data for an optimized crystal structure of Li4SnS5.

Summary:
**Formation energy without anion corrections**: -0.718 eV/atom
**Theoretical density**: 2.89 g/cm3
**Magnetic moment**: 0.0 μB per formula unit
**D(E_F)**: 19.35 states/eV/cell

Lattice parameters (Å, degrees): 8.1994 8.1994 5.2381 90.00 90.00 90.00
Space group I4/m (No. 87)
Inequivalent atoms, fractional coordinates:
Li: 0.1055 0.7009 0.0000 x8
Sn: 0.0000 0.0000 0.5000 x2
S: 0.0000 0.0000 0.0000 x2
S: 0.0930 0.7059 0.5000 x8

[3]
## Mn2CdCu (PBE-GGA)

Data for an optimized crystal structure of Mn2CdCu.

Summary:
**Uncorrected energy**: -5.56 eV/atom
**Theoretical density**: 8.04 g/cm3
**Magnetic moment**: 0.1 μB per formula unit
**D(E_F)**: 6.95 states/eV/cell

Lattice parameters (Å, degrees): 2.7935 2.7935 26.2087 90.00 90.00 120.00
Space group R3m (No. 160, hexagonal axes)
Inequivalent atoms, fractional coordinates:
Mn: 0.0000 0.0000 0.0000 x3
Mn: 0.0000 0.0000 0.2612 x3
Cd: 0.0000 0.0000 0.7603 x3
Cu: 0.0000 0.0000 0.5169 x3

[4]
## HfSi2As (PBE-GGA)

Data for an optimized crystal structure of HfSi2As.

Summary:
**Formation energy without anion corrections**: 0.077 eV/atom
**Theoretical density**: 7.08 g/cm3
**Magnetic moment**: 0.0 μB per formula unit
**D(E_F)**: 10.11 states/eV/cell

Lattice parameters (Å, degrees): 7.3251 7.3251 5.4134 90.00 90.00 90.00
Space group I-42d (No. 122)
Inequivalent atoms, fractional coordinates:
Hf: 0.0000 0.0000 0.0000 x4
Si: 0.2368 0.2500 0.6250 x8
As: 0.0000 0.0000 0.5000 x4

[5]
## Li2InGa2 (PBE-GGA)

Data for an optimized crystal structure of Li2InGa2.

Summary:
**Theoretical density**: 4.79 g/cm3
**Magnetic moment**: 0.0 μB per formula unit
**D(E_F)**: 3.14 states/eV/cell
**E above lowest polymorph**: 76 meV per atom

Lattice parameters (Å, degrees): 7.4751 7.4751 3.3253 90.00 90.00 90.00
Space group P4/mbm (No. 127)
Inequivalent atoms, fractional coordinates:
Li: 0.1392 0.3608 0.0000 x4
In: 0.0000 0.0000 0.0000 x2
Ga: 0.1561 0.6561 0.5000 x4

[6]
## Cs2DyTcO6 (PBE-GGA)

Data for an optimized crystal structure of Cs2DyTcO6.

Summary:
**Formation energy without anion corrections**: -1.891 eV/atom
**Theoretical density**: 4.65 g/cm3
**Magnetic moment**: 0.0 μB per formula unit

Lattice parameters (Å, degrees): 6.6766 6.6766 5.7539 90.00 90.00 120.00
Space group P-3m1 (No. 164)
Inequivalent atoms, fractional coordinates:
Cs: 0.3333 0.6667 0.1440 x2
Dy: 0.0000 0.0000 0.5000 x1
Tc: 0.0000 0.0000 0.0000 x1
O: 0.1310 0.2620 0.7958 x6

[7]
## NpBrN (PBE-GGA)

Data for an optimized crystal structure of NpBrN.

Summary:
**Formation energy without anion corrections**: -1.106 eV/atom
**Theoretical density**: 8.59 g/cm3
**Magnetic moment**: 3.0 μB per formula unit
**D(E_F)**: 22.81 states/eV/cell

Lattice parameters (Å, degrees): 7.1833 3.8116 9.3432 90.00 90.00 90.00
Space group Pnma (No. 62)
Inequivalent atoms, fractional coordinates:
Np: 0.1631 0.2500 0.0850 x4
Br: 0.0365 0.7500 0.3323 x4
N: 0.1228 0.7500 0.9801 x4

[8]
## PmSmPuN3 (PBE-GGA)

Data for an optimized crystal structure of PmSmPuN3.

Summary:
**Formation energy without anion corrections**: -1.143 eV/atom
**Theoretical density**: 8.03 g/cm3
**Magnetic moment**: 4.9 μB per formula unit
**D(E_F)**: 15.98 states/eV/cell

Lattice parameters (Å, degrees): 7.1729 3.6008 9.8813 90.00 109.61 90.00
Space group P2_1/m (No. 11)
Inequivalent atoms, fractional coordinates:
Pm: 0.0811 0.2500 0.3803 x2
Sm: 0.4569 0.7500 0.6445 x2
Pu: 0.2919 0.2500 0.8989 x2
N: 0.1890 0.2500 0.6396 x2
N: 0.3142 0.7500 0.3861 x2
N: 0.4631 0.7500 0.8909 x2

Q: Look up the theoretical density of the third one.
A: 8.04 g/cm3

Q: The highest theoretical density belongs to which entry?
A: NpBrN